A relaxed LiScZn3 crystal. Source: Alexandria via LeMat-Bulk, functional PBE.

- total magnetic moment (μB/f.u.) = 0.00
- energy relative to the lowest polymorph listed for this composition (eV/atom) = 0.000
- ΔE_f (meV per atom) = -120
- crystal system = hexagonal

Unit cell a=6.1338 b=6.1338 c=5.0615 alpha=90.00 beta=90.00 gamma=120.00
Space group P6_3/mmc (No. 194)
Symmetry-distinct sites (fractional):
Li (0.0000, 0.0000, 0.0000) (multiplicity 2)
Sc (0.3333, 0.6667, 0.2500) (multiplicity 2)
Zn (0.1938, 0.3875, 0.7500) (multiplicity 6)

=====

A relaxed ZrOs3Pt crystal. Source: Alexandria via LeMat-Bulk, functional PBE.

- total magnetic moment (μB/f.u.) = 2.49
- energy relative to the lowest polymorph listed for this composition (eV/atom) = 0.644
- ΔE_f (meV per atom) = 2618
- crystal system = cubic

Unit cell a=4.752 b=4.752 c=4.752 alpha=90.00 beta=90.00 gamma=90.00
Space group Pm-3m (No. 221)
Symmetry-distinct sites (fractional):
Zr (0.000, 0.000, 0.000) (multiplicity 1)
Os (0.000, 0.000, 0.500) (multiplicity 3)
Pt (0.500, 0.500, 0.500) (multiplicity 1)